Entry 1:
VASP calculation (PBEsol) on a relaxed structure of SrSnSbPb2.

## Properties
V = 185.7 Å³ per cell
total DFT energy (no corrections) = -17.75 eV/cell
space-group type = P4/mmm (123)
N(E_F) = 3.77 states/eV/f.u.
size of the total moment = 0.00 μB/atom

a b c (Å): 5.685 5.685 5.747
angles (deg): 90.00 90.00 90.00
Atoms (fractional coordinates):
Sr  0.000  0.000  0.000
Sn  0.500  0.500  0.500
Sb  0.500  0.500  0.000
Pb  0.000  0.500  0.500
Pb  0.500  0.000  0.500

***

Entry 2:
VASP calculation (PBEsol) on a relaxed structure of SrSb4Pb.

## Properties
V = 176.9 Å³ per cell
total DFT energy (no corrections) = -25.19 eV/cell
space-group type = F-43m (216)
N(E_F) = 4.00 states/eV/f.u.
size of the total moment = 0.00 μB/atom

a b c (Å): 6.301 6.301 6.301
angles (deg): 60.00 60.00 60.00
Atoms (fractional coordinates):
Sr  0.000  0.000  0.000
Sb  0.376  0.376  0.376
Sb  0.376  0.376  0.873
Sb  0.376  0.873  0.376
Sb  0.873  0.376  0.376
Pb  0.750  0.750  0.750